Sr2AuSe, optimized geometry, DFT PBEsol; symmetry = P4/mmm, No. 123; formation energy from raw total energies = -1.24 eV/atom
1.0
3.7895 0.0000 0.0000
0.0000 3.7895 0.0000
0.0000 0.0000 7.3952
Au Se Sr
1 1 2
Direct
0.5000 0.5000 0.5000
0.5000 0.5000 0.0000
0.0000 0.0000 0.2453
0.0000 0.0000 0.7547


La2AsIr, optimized geometry, DFT PBEsol; symmetry = P4mm, No. 99; formation energy = -3.59 eV/f.u.
1.0
-1.8593 2.0634 -3.1801
-2.7964 -3.1380 -0.4012
-3.6296 2.7362 3.8975
As Ir La
1 1 2
Direct
0.0000 0.0000 0.3805
0.5000 0.5000 0.8813
0.0000 0.0000 0.8797
0.5000 0.5000 0.3586


Y2AsPb, optimized geometry, DFT PBEsol; symmetry = P4/mmm, No. 123; formation energy = -3.39 eV/f.u.
1.0
3.5116 0.0000 0.0000
0.0000 3.5116 0.0000
0.0000 0.0000 7.9391
Pb Y As
1 2 1
Direct
0.5000 0.5000 0.5000
0.0000 0.0000 0.7880
0.0000 0.0000 0.2120
0.5000 0.5000 0.0000


SbMoRu, optimized geometry, DFT PBEsol; symmetry = P-6m2, No. 187; formation energy from raw total energies = 0.21 eV/atom
1.0
2.8989 0.0000 0.0000
0.0000 4.4081 0.0000
0.0000 -2.2041 3.8176
Mo Ru Sb
1 1 1
Direct
0.5000 0.0000 0.0000
0.0000 0.3333 0.6667
0.0000 0.6667 0.3333


LiMnPt2, optimized geometry, DFT PBEsol; symmetry = I4/mmm, No. 139; formation energy = -1.54 eV/f.u.
1.0
4.0201 0.0000 0.0000
-2.0101 3.8914 0.0191
0.0000 2.0596 3.4524
Mn Pt Li
1 2 1
Direct
0.0000 0.0000 0.0000
0.2500 0.5000 0.2500
0.7500 0.5000 0.7500
0.5000 0.0000 0.5000


SrO, optimized geometry, DFT PBEsol; symmetry = Fm-3m, No. 225; formation energy from raw total energies = -2.77 eV/atom
1.0
3.6292 0.0000 0.0000
1.8146 3.1429 0.0000
1.8146 1.0476 2.9632
Sr O
1 1
Direct
0.5000 0.5000 0.5000
0.0000 0.0000 0.0000


LiCr2O3, optimized geometry, DFT PBEsol; symmetry = C2/c, No. 15; formation energy from raw total energies = -1.72 eV/atom
1.0
-3.9912 2.4597 -1.8467
2.0139 -3.7946 -2.6348
-2.2293 -2.6107 3.7189
Li Cr O
2 4 6
Direct
0.0820 0.9182 0.2499
0.9180 0.0818 0.7501
0.2465 0.7536 0.7500
0.4151 0.5849 0.2500
0.7535 0.2464 0.2500
0.5849 0.4151 0.7500
0.0000 0.5000 0.0000
0.5000 0.0000 0.5000
0.8243 0.6479 0.5020
0.6480 0.8244 0.0021
0.3520 0.1755 0.9979
0.1757 0.3522 0.4980


SrAl2Te, optimized geometry, DFT PBEsol; symmetry = Fmmm, No. 69; formation energy from raw total energies = -0.26 eV/atom
1.0
-3.4290 -2.3062 1.4361
2.0166 -0.5645 3.8460
-1.7366 6.3107 -0.6446
Sr Te Al
1 1 2
Direct
0.5000 0.5000 0.0000
0.0000 0.0000 0.0000
0.0000 0.0000 0.5000
0.5000 0.5000 0.5000


LiCrPb, optimized geometry, DFT PBEsol; symmetry = F-43m, No. 216; formation energy = 1.62 eV/f.u.
1.0
4.3172 0.0000 0.0000
2.1586 3.7388 0.0000
2.1586 1.2463 3.5250
Cr Li Pb
1 1 1
Direct
0.5000 0.5000 0.5000
0.2500 0.2500 0.2500
0.0000 0.0000 0.0000


ZnH2Pt2, optimized geometry, DFT PBEsol; symmetry = P4/mbm, No. 127
1.0
3.5392 0.0000 0.0000
0.0000 5.4196 0.0000
0.0000 0.0000 5.4196
H Zn Pt
4 2 4
Direct
0.0000 0.3502 0.8502
0.0000 0.8502 0.6498
0.0000 0.6498 0.1498
0.0000 0.1498 0.3502
0.0000 0.0000 0.0000
0.0000 0.5000 0.5000
0.5000 0.3216 0.8216
0.5000 0.8216 0.6784
0.5000 0.6784 0.1784
0.5000 0.1784 0.3216


TlZnP2, optimized geometry, DFT PBEsol; symmetry = R3m, No. 160; formation energy = 0.53 eV/f.u.
1.0
-0.9211 0.7366 3.0219
-0.0525 -2.3010 2.2860
7.9475 1.3431 3.8362
P Tl Zn
2 1 1
Direct
0.9920 0.9920 0.0240
0.2765 0.2765 0.1705
0.4958 0.4958 0.5127
0.7358 0.7358 0.7927


TlCo2Pt, optimized geometry, DFT PBEsol; symmetry = I4/mmm, No. 139; formation energy = 1.17 eV/f.u.
1.0
-0.4376 -2.1372 3.3370
3.4842 -1.8067 -0.7003
0.1571 4.4997 0.5209
Tl Co Pt
1 2 1
Direct
0.5000 0.5000 0.0000
0.7500 0.2500 0.5000
0.2500 0.7500 0.5000
0.0000 0.0000 0.0000


Tl2RuPb, optimized geometry, DFT PBEsol; symmetry = Pmmm, No. 47; formation energy = 2.56 eV/f.u.
1.0
3.4602 0.0000 0.0000
0.0000 5.0586 0.0000
0.0000 0.0000 5.0433
Pb Ru Tl
1 1 2
Direct
0.5000 0.5000 0.0000
0.0000 0.5000 0.5000
0.0000 0.0000 0.0000
0.5000 0.0000 0.5000


TaOs5, optimized geometry, DFT PBEsol; symmetry = Amm2, No. 38; formation energy = -0.22 eV/f.u.
1.0
-2.3204 -1.4998 0.2151
2.1657 -3.5476 -1.3728
2.8331 -0.8621 6.6976
Os Ta
5 1
Direct
0.0022 0.0000 0.0044
0.6684 0.0000 0.3368
0.3319 0.0000 0.6639
0.5583 0.5000 0.1165
0.2173 0.5000 0.4346
0.8886 0.5000 0.7771


TlBPdW2, optimized geometry, DFT PBEsol; symmetry = P4/mmm, No. 123; formation energy = 4.21 eV/f.u.
1.0
4.1620 0.0000 0.0000
0.0000 4.1620 0.0000
0.0000 0.0000 4.5306
Tl B Pd W
1 1 1 2
Direct
0.0000 0.0000 0.5000
0.0000 0.0000 0.0000
0.5000 0.5000 0.5000
0.0000 0.5000 0.0000
0.5000 0.0000 0.0000


AsSeS2N, optimized geometry, DFT PBEsol; symmetry = P4/mmm, No. 123; formation energy from raw total energies = 0.91 eV/atom
1.0
3.5548 0.0000 0.0000
0.0000 4.8009 0.0000
0.0000 0.0000 4.8009
As S Se N
1 2 1 1
Direct
0.0000 0.0000 0.0000
0.0000 0.0000 0.5000
0.0000 0.5000 0.0000
0.5000 0.5000 0.5000
0.5000 0.0000 0.0000


MgTl4, optimized geometry, DFT PBEsol; symmetry = P-42_1c, No. 114; formation energy = 0.09 eV/f.u.
1.0
6.4353 0.0000 0.0000
0.0000 6.4353 0.0000
0.0000 0.0000 6.6350
Mg Tl
2 8
Direct
0.0000 0.0000 0.0000
0.5000 0.5000 0.5000
0.1121 0.2767 0.3554
0.8879 0.7233 0.3554
0.2767 0.8879 0.6446
0.7233 0.1121 0.6446
0.3879 0.7767 0.1446
0.6121 0.2233 0.1446
0.2233 0.3879 0.8554
0.7767 0.6121 0.8554


Cu2TeSe, optimized geometry, DFT PBEsol; symmetry = P4/mmm, No. 123; formation energy from raw total energies = 0.37 eV/atom
1.0
3.4260 0.0000 0.0000
0.0000 4.5071 0.0000
0.0000 0.0000 4.5071
Cu Se Te
2 1 1
Direct
0.0000 0.0000 0.5000
0.0000 0.5000 0.0000
0.5000 0.5000 0.5000
0.5000 0.0000 0.0000


Zn2CdPt, optimized geometry, DFT PBEsol; symmetry = C2/m, No. 12; formation energy = -0.90 eV/f.u.
1.0
2.8657 0.0000 0.0000
-1.4329 4.4961 0.0181
0.0000 -0.9664 4.8267
Cd Pt Zn
1 1 2
Direct
0.0000 0.0000 0.5000
0.5000 0.0000 0.0000
0.7585 0.5170 0.7762
0.2415 0.4830 0.2238


HfAu3Br, optimized geometry, DFT PBEsol; symmetry = Pm-3m, No. 221; formation energy from raw total energies = 0.77 eV/atom
1.0
5.1530 0.0000 0.0000
0.0000 5.1530 0.0000
0.0000 0.0000 5.1530
Hf Au Br
1 3 1
Direct
0.0000 0.0000 0.0000
0.0000 0.5000 0.0000
0.0000 0.0000 0.5000
0.5000 0.0000 0.0000
0.5000 0.5000 0.5000


Electronic total energy values, unit eV per cell, following the record order: -16.4, -29.2, -26.1, -25.9, -27.2, -12.6, -97.0, -14.6, -14.6, -45.6, -15.3, -23.9, -16.9, -73.8, -39.0, -21.7, -24.3, -14.5, -12.2, -20.3.